HfVFe after structural relaxation. Source: Alexandria, functional PBE.

Unit cell a=5.1230 b=4.9948 c=4.9948 alpha=60.73 beta=59.15 gamma=59.15
Atoms (fractional coordinates):
1 Fe 0.0000 0.0000 0.0000
2 Hf 0.1210 0.6290 0.6290
3 Fe 0.5000 0.0000 0.0000
4 Hf 0.8790 0.3710 0.3710
5 V 0.5000 0.0000 0.5000
6 V 0.5000 0.5000 0.0000

Computed properties:
**Spin magnetization**: 0.46 μB per formula unit
**Electronic total energy**: -9.436 eV/atom
**Offset from the most stable computed form**: 0.0 kJ/mol of formula units
**ΔH_f (0 K)**: -0.774 eV per formula unit
**Space group**: Imma